Here is crystalline HoBPb at its relaxed geometry from the Open Quantum Materials Database. Energies are from PBE-GGA.

Geometry as extended XYZ:
```
3
Lattice="1.986 -0.840 3.920 -2.210 0.711 3.825 -1.339 -3.469 2.489" Properties=species:S:1:pos:R:3 pbc="T T T"
B 0.000 0.000 0.000
Ho -0.390 -0.899 2.559
Pb -1.171 -2.698 7.676
```

The symmetry is F-43m. The raw total energy comes out at -4.64 eV per atom.


Here is crystalline Ho4B2PbS at its relaxed geometry from the Open Quantum Materials Database. Energies are from PBE-GGA.

Geometry as extended XYZ:
```
8
Lattice="-2.309 0.365 2.862 2.959 -2.195 0.281 8.146 11.631 5.088" Properties=species:S:1:pos:R:3 pbc="T T T"
B 1.694 2.720 3.405
B 5.346 7.934 5.687
Ho 1.451 2.072 0.906
Ho 4.282 3.054 3.065
Ho 6.270 5.893 4.307
Ho 6.695 9.560 4.182
Pb 1.203 -1.342 1.142
S 4.073 5.816 2.544
```

The symmetry is P-6m2. The raw total energy comes out at -5.55 eV per atom.